ZrTlFe2, relaxed, DFT GGA-PBE; VASP energy = -6.6631 eV/atom; magnetization = 5.046 Bohr magnetons per cell; V = 17.42 A^3/atom; energy of formation from the pure elements = 0.30 eV/atom; energy above the lowest structure with this stoichiometry = 159 meV/atom; density of states at the Fermi level = 0.54 states/eV per atom
1.0
-1.1935 -2.4641 -3.7205
3.1206 -2.6929 -2.0852
-0.3538 -4.5966 0.2902
Fe Tl Zr
2 1 1
direct
0.0000 0.0000 0.0000
0.7500 0.7500 0.7500
0.5000 0.5000 0.5000
0.2500 0.2500 0.2500

LiTl5I6, relaxed, DFT GGA-PBE; uncorrected formation energy = -847 kJ/mol of formula units; VASP energy = -2.6522 eV/atom; magnetization = 0.000 Bohr magnetons per cell; V = 41.50 A^3/atom; density of states at the Fermi level = 0.00 states/eV per atom
1.0
8.3288 0.0000 2.0035
4.1644 7.2893 1.0018
0.8918 0.0000 8.4169
I Tl Li
6 5 1
direct
0.6274 0.2999 0.2245
0.0727 0.2999 0.7755
0.7740 0.0000 0.7509
0.2260 0.0000 0.2491
0.9273 0.7001 0.2245
0.3726 0.7001 0.7755
0.1734 0.6532 0.5000
0.3357 0.3286 0.0000
0.5000 0.0000 0.5000
0.6643 0.6714 0.0000
0.8266 0.3468 0.5000
0.0000 0.0000 0.0000

Tm6TcPd, relaxed, DFT GGA-PBE; VASP energy = -5.4490 eV/atom; magnetization = 0.000 Bohr magnetons per cell; V = 28.28 A^3/atom; energy of formation from the pure elements = -0.15 eV/atom; energy above the lowest structure with this stoichiometry = 110 meV/atom; density of states at the Fermi level = 0.84 states/eV per atom
1.0
6.6379 0.2442 0.0000
1.8629 6.3754 0.0000
0.9315 3.1877 5.4038
Tm Tc Pd
6 1 1
direct
0.7412 0.4401 0.6436
0.7412 0.0837 0.3564
0.2588 0.9163 0.6436
0.2588 0.5599 0.3564
0.7428 0.7527 0.0000
0.2572 0.2473 0.0000
0.5000 0.5000 0.0000
0.0000 0.0000 0.0000

BaSrAl2, relaxed, DFT GGA-PBE; VASP energy = -2.8844 eV/atom; magnetization = 0.000 Bohr magnetons per cell; V = 32.27 A^3/atom; energy of formation from the pure elements = -0.11 eV/atom; energy above the lowest structure with this stoichiometry = 81 meV/atom; density of states at the Fermi level = 0.74 states/eV per atom
1.0
-0.3867 -4.5250 4.7259
1.1559 -6.1718 -1.8795
2.6290 6.0003 0.2121
Sr Ba Al
1 1 2
direct
0.2247 0.7247 0.5000
0.5287 0.5287 0.0000
0.9481 0.9481 0.0000
0.7985 0.2985 0.5000

NaCa2Te2, relaxed, DFT GGA-PBE; uncorrected formation energy = -496 kJ/mol of formula units; VASP energy = -3.3490 eV/atom; magnetization = 0.000 Bohr magnetons per cell; V = 31.13 A^3/atom; energy above the lowest structure with this stoichiometry = 127 meV/atom; density of states at the Fermi level = 0.83 states/eV per atom
1.0
-2.3950 -1.7576 8.2582
8.1755 -2.6270 1.8119
0.9713 3.7707 1.0842
Na Ca Te
2 4 4
direct
0.0000 0.0000 0.0000
0.5000 0.5000 0.0000
0.3586 0.8586 0.0000
0.8586 0.6414 0.0000
0.6414 0.1414 0.0000
0.1414 0.3586 0.0000
0.1605 0.6605 0.5000
0.6605 0.8395 0.5000
0.8395 0.3395 0.5000
0.3395 0.1605 0.5000

BaTeSeN2, relaxed, DFT GGA-PBE; uncorrected formation energy = 468 kJ/mol of formula units; VASP energy = -4.0703 eV/atom; magnetization = 2.045 Bohr magnetons per cell; V = 22.96 A^3/atom; energy above the lowest structure with this stoichiometry = 530 meV/atom; density of states at the Fermi level = 0.74 states/eV per atom
1.0
4.5991 0.0000 0.0000
0.0000 4.5991 0.0000
0.0000 0.0000 5.4267
Te Ba Se N
1 1 1 2
direct
0.0000 0.0000 0.5000
0.5000 0.5000 0.5000
0.0000 0.0000 0.0000
0.0000 0.5000 0.0000
0.5000 0.0000 0.0000